Record 1
This record from Alexandria describes a geometry-optimized BaMo4Ru structure. The functional is GGA-PBE.

Output
For the density of states at the Fermi level, the calculation gives 6.43 states/eV/cell. The calculation puts the calculated density at 9.14 g/cm³. Its volume is 113.1 Å³/cell. The total energy is -8.144 eV/atom.

Lattice parameters (Å, degrees): 5.4278 5.4278 5.4278 60.00 60.00 60.00
Sites, in units of the cell vectors:
Ba (0.0000, 0.0000, 0.0000)
Mo (0.8744, 0.3752, 0.3752)
Mo (0.3752, 0.3752, 0.8744)
Mo (0.3752, 0.8744, 0.3752)
Mo (0.3752, 0.3752, 0.3752)
Ru (0.7500, 0.7500, 0.7500)

---

Record 2
This record from Alexandria describes a geometry-optimized BaMoRu2 structure. The functional is GGA-PBE.

Output
The calculation puts the excess energy over the best structure of this formula in the dataset at 438 meV per atom. For the density of states at the Fermi level, the calculation gives 3.59 states/eV/cell. The calculation puts the calculated density at 7.83 g/cm³. Its volume is 184.7 Å³/cell. The total energy is -6.966 eV/atom.

Lattice parameters (Å, degrees): 7.4350 7.4350 6.2295 53.36 53.36 90.00
Sites, in units of the cell vectors:
Ru (0.5503, 0.1250, 0.2500)
Ru (0.1997, 0.6250, 0.2500)
Ru (0.3750, 0.4497, 0.7500)
Ru (0.8750, 0.8003, 0.7500)
Mo (0.5000, 0.5000, 0.0000)
Mo (0.2500, 0.7500, 0.5000)
Ba (0.0000, 0.0000, 0.0000)
Ba (0.7500, 0.2500, 0.5000)

---

Record 3
This record from Alexandria describes a geometry-optimized Ba2MoRu structure. The functional is GGA-PBE.

Output
The calculation puts the excess energy over the best structure of this formula in the dataset at 29 meV per atom. For the density of states at the Fermi level, the calculation gives 4.15 states/eV/cell. The calculation puts the calculated density at 6.09 g/cm³. Its volume is 128.6 Å³/cell. The total energy is -5.429 eV/atom.

Lattice parameters (Å, degrees): 10.0311 10.0311 10.0311 159.65 158.50 29.77
Site moments in Bohr magnetons follow the coordinates.
Sites, in units of the cell vectors:
Ba (0.1053, 0.1053, 0.0000)  0.05
Ba (0.3947, 0.3947, 0.0000)  0.05
Mo (0.7500, 0.2500, 0.5000)  0.06
Ru (0.2500, 0.7500, 0.5000)  0.01

---

Record 4
This record from Alexandria describes a geometry-optimized Ba2MoRu structure. The functional is GGA-PBE.

Output
The calculation puts the excess energy over the best structure of this formula in the dataset at 336 meV per atom. For the density of states at the Fermi level, the calculation gives 9.01 states/eV/cell. The calculation puts the calculated density at 4.59 g/cm³. Its volume is 341.0 Å³/cell. The total energy is -5.121 eV/atom.

Lattice parameters (Å, degrees): 12.0387 12.0387 8.8319 47.04 47.04 90.00
Site moments in Bohr magnetons follow the coordinates.
Sites, in units of the cell vectors:
Ru (0.0000, 0.0000, 0.0000)  0.18
Ru (0.7500, 0.2500, 0.5000)  0.18
Mo (0.5000, 0.5000, 0.0000)  1.81
Mo (0.2500, 0.7500, 0.5000)  1.81
Ba (0.8013, 0.1250, 0.2500)  0.03
Ba (0.9487, 0.6250, 0.2500)  0.03
Ba (0.3750, 0.1987, 0.7500)  0.04
Ba (0.8750, 0.0513, 0.7500)  0.04

---

Record 5
This record from Alexandria describes a geometry-optimized BaMoRu2 structure. The functional is GGA-PBE.

Output
The calculation puts the excess energy over the best structure of this formula in the dataset at 909 meV per atom. For the density of states at the Fermi level, the calculation gives 7.11 states/eV/cell. The calculation puts the calculated density at 9.66 g/cm³. Its volume is 74.8 Å³/cell. The total energy is -6.495 eV/atom.

Lattice parameters (Å, degrees): 3.0953 5.0040 4.8324 90.00 90.00 90.00
Sites, in units of the cell vectors:
Ba (0.5000, 0.0000, 0.5000)
Mo (0.0000, 0.5000, 0.5000)
Ru (0.0000, 0.0000, 0.0000)
Ru (0.5000, 0.5000, 0.0000)

---

Record 6
This record from Alexandria describes a geometry-optimized BaMoRu structure. The functional is GGA-PBE.

Output
The calculation puts the excess energy over the best structure of this formula in the dataset at 42 meV per atom. For the density of states at the Fermi level, the calculation gives 2.53 states/eV/cell. The calculation puts the calculated density at 7.46 g/cm³. Its volume is 74.4 Å³/cell. The total energy is -6.734 eV/atom.

Lattice parameters (Å, degrees): 6.6108 6.6108 6.6108 150.74 148.11 43.83
Sites, in units of the cell vectors:
Ba (0.0013, 0.0013, 0.0000)
Mo (0.2712, 0.2712, 0.0000)
Ru (0.7275, 0.7275, 0.0000)

---

Record 7
This record from Alexandria describes a geometry-optimized BaMoRu2 structure. The functional is GGA-PBE.

Output
The calculation puts the excess energy over the best structure of this formula in the dataset at 302 meV per atom. For the density of states at the Fermi level, the calculation gives 5.26 states/eV/cell. The calculation puts the calculated density at 8.38 g/cm³. Its volume is 86.3 Å³/cell. The total energy is -7.102 eV/atom.

Lattice parameters (Å, degrees): 3.3266 3.3266 7.7975 90.00 90.00 90.00
Sites, in units of the cell vectors:
Ba (0.0000, 0.0000, 0.4904)
Mo (0.5000, 0.5000, 0.8538)
Ru (0.0000, 0.0000, 0.9891)
Ru (0.5000, 0.5000, 0.1667)

---

Record 8
This record from Alexandria describes a geometry-optimized BaMoRu2 structure. The functional is GGA-PBE.

Output
The calculation puts the excess energy over the best structure of this formula in the dataset at 522 meV per atom. For the density of states at the Fermi level, the calculation gives 4.41 states/eV/cell. The calculation puts the calculated density at 8.39 g/cm³. Its volume is 86.2 Å³/cell. The total energy is -6.882 eV/atom.

Lattice parameters (Å, degrees): 5.6962 5.6962 5.6962 147.10 119.34 70.76
Sites, in units of the cell vectors:
Ba (0.2500, 0.7500, 0.5000)
Mo (0.7500, 0.2500, 0.5000)
Ru (0.9504, 0.9504, 0.0000)
Ru (0.5496, 0.5496, 0.0000)

---

Which formula does entry 7 have? BaMoRu2

---

Which of these has the lowest calculated density? number 4